1.
The following is a DFT calculation (meta-GGA SCAN) of a PBEsol-optimized structure of Mg2ZnMo.

DOS at the Fermi energy = 0.513 states/eV/atom
energy relative to the elements = 0.226 eV per atom
total DFT energy (no corrections) = -14.36 eV/atom

Structure (extended XYZ):
```
4
Lattice="4.878 -1.402 0.000 4.878 1.402 0.000 -1.150 0.000 4.926" Properties=species:S:1:pos:R:3 pbc="T T T"
Mg 0.000 0.000 0.000
Mg 1.436 0.000 3.686
Zn 4.345 0.000 2.251
Mo 7.083 0.000 1.316
```


2.
The following is a DFT calculation (meta-GGA SCAN) of a PBEsol-optimized structure of Mg2ZnMo.

DOS at the Fermi energy = 0.493 states/eV/atom
energy relative to the elements = 0.162 eV per atom
total DFT energy (no corrections) = -14.42 eV/atom

Structure (extended XYZ):
```
4
Lattice="2.782 0.000 0.000 0.000 2.782 0.000 0.000 0.000 8.827" Properties=species:S:1:pos:R:3 pbc="T T T"
Mg 0.000 0.000 0.000
Mg 1.391 1.391 2.622
Zn 1.391 1.391 6.730
Mo 0.000 0.000 4.794
```


3.
The following is a DFT calculation (meta-GGA SCAN) of a PBEsol-optimized structure of Mg2ZrMo.

DOS at the Fermi energy = 0.659 states/eV/atom
energy relative to the elements = 0.193 eV per atom
total DFT energy (no corrections) = -18.69 eV/atom

Structure (extended XYZ):
```
4
Lattice="-1.659 2.252 5.081 1.659 -2.252 5.081 1.659 2.252 -5.081" Properties=species:S:1:pos:R:3 pbc="T T T"
Mg 0.000 0.000 2.376
Mg 0.000 0.000 7.785
Zr 0.000 2.252 0.000
Mo 1.659 0.000 0.000
```


4.
The following is a DFT calculation (meta-GGA SCAN) of a PBEsol-optimized structure of MgZrMo2.

DOS at the Fermi energy = 0.981 states/eV/atom
energy relative to the elements = 0.286 eV per atom
total DFT energy (no corrections) = -26.07 eV/atom

Structure (extended XYZ):
```
4
Lattice="1.648 -2.247 0.000 1.648 2.247 0.000 0.000 0.000 9.365" Properties=species:S:1:pos:R:3 pbc="T T T"
Mg 0.000 0.000 0.000
Zr 0.000 0.000 4.682
Mo 1.648 0.000 2.346
Mo 1.648 0.000 7.019
```


5.
The following is a DFT calculation (meta-GGA SCAN) of a PBEsol-optimized structure of MgZr4Mo.

DOS at the Fermi energy = 1.483 states/eV/atom
energy relative to the elements = 0.579 eV per atom
total DFT energy (no corrections) = -26.53 eV/atom

Structure (extended XYZ):
```
6
Lattice="0.000 3.982 3.982 3.982 0.000 3.982 3.982 3.982 0.000" Properties=species:S:1:pos:R:3 pbc="T T T"
Mg 0.000 0.000 0.000
Zr 4.960 3.003 3.003
Zr 3.003 4.960 3.003
Zr 3.003 3.003 4.960
Zr 4.960 4.960 4.960
Mo 1.991 1.991 1.991
```


6.
The following is a DFT calculation (meta-GGA SCAN) of a PBEsol-optimized structure of Mg3N2.

DOS at the Fermi energy = 0.000 states/eV/atom
uncorrected formation energy = -0.97 eV/atom
total DFT energy (no corrections) = -7.67 eV/atom

Structure (extended XYZ):
```
40
Lattice="-4.975 4.975 4.975 4.975 -4.975 4.975 4.975 4.975 -4.975" Properties=species:S:1:pos:R:3 pbc="T T T"
Mg 5.943 1.387 -1.315
Mg 1.387 1.315 -0.968
Mg 1.315 -0.968 1.387
Mg 4.007 3.588 -1.315
Mg 3.588 1.315 0.968
Mg 6.290 0.968 1.387
Mg 6.290 -0.968 3.588
Mg 3.588 -1.315 4.007
Mg -0.968 1.387 1.315
Mg 1.315 0.968 3.588
Mg 1.387 -1.315 5.943
Mg 0.968 3.588 1.315
Mg 4.007 1.387 3.659
Mg 3.588 6.290 -0.968
Mg 3.659 4.007 1.387
Mg 5.943 3.588 3.659
Mg 1.387 6.290 0.968
Mg -1.315 5.943 1.387
Mg -1.315 4.007 3.588
Mg 1.387 3.659 4.007
Mg 0.968 1.387 6.290
Mg 3.659 5.943 3.588
Mg 3.588 3.659 5.943
Mg -0.968 3.588 6.290
N 0.000 0.000 0.000
N 4.975 0.000 0.000
N 4.975 -2.487 2.800
N 7.462 2.175 0.000
N 2.800 4.975 -2.487
N 2.800 0.000 2.487
N 2.487 2.800 0.000
N 4.975 2.487 2.175
N 0.000 4.975 0.000
N 0.000 0.000 4.975
N 0.000 2.487 2.800
N 2.487 2.175 4.975
N 2.175 4.975 2.487
N 2.175 0.000 7.462
N -2.487 2.800 4.975
N 0.000 7.462 2.175
```


7.
The following is a DFT calculation (meta-GGA SCAN) of a PBEsol-optimized structure of NaMgN2.

DOS at the Fermi energy = 0.252 states/eV/atom
uncorrected formation energy = 0.52 eV/atom
total DFT energy (no corrections) = -6.42 eV/atom

Structure (extended XYZ):
```
8
Lattice="-2.038 2.038 6.648 2.038 -2.038 6.648 2.038 2.038 -6.648" Properties=species:S:1:pos:R:3 pbc="T T T"
Na 0.000 0.000 0.000
Na 0.000 2.038 3.324
Mg 2.038 0.000 3.324
Mg 0.000 0.000 6.648
N 1.019 -0.363 4.986
N 1.675 1.019 1.662
N 1.019 2.402 -1.662
N 0.363 1.019 8.310
```


8.
The following is a DFT calculation (meta-GGA SCAN) of a PBEsol-optimized structure of NaMgN2.

DOS at the Fermi energy = 0.156 states/eV/atom
uncorrected formation energy = 0.65 eV/atom
total DFT energy (no corrections) = -6.30 eV/atom

Structure (extended XYZ):
```
4
Lattice="1.718 0.992 6.204 -1.718 0.992 6.204 0.000 -1.983 6.204" Properties=species:S:1:pos:R:3 pbc="T T T"
Na 0.000 0.000 0.000
Mg 0.000 0.000 9.305
N 0.000 0.000 2.233
N 0.000 0.000 16.378
```


9.
The following is a DFT calculation (meta-GGA SCAN) of a PBEsol-optimized structure of NaMgS2N.

DOS at the Fermi energy = 0.290 states/eV/atom
ΔE to the lowest computed polymorph = 625 meV per atom
uncorrected formation energy = 0.73 eV/atom
total DFT energy (no corrections) = -6.82 eV/atom

Structure (extended XYZ):
```
5
Lattice="4.903 0.000 0.000 0.000 4.903 0.000 0.000 0.000 4.189" Properties=species:S:1:pos:R:3 pbc="T T T"
Na 0.000 0.000 0.000
Mg 2.451 2.451 2.094
S 0.000 2.451 0.000
S 2.451 0.000 0.000
N 0.000 0.000 2.094
```


10.
The following is a DFT calculation (meta-GGA SCAN) of a PBEsol-optimized structure of NaMgS2N.

DOS at the Fermi energy = 0.393 states/eV/atom
ΔE to the lowest computed polymorph = 0 meV per atom
uncorrected formation energy = 0.10 eV/atom
total DFT energy (no corrections) = -7.45 eV/atom

Structure (extended XYZ):
```
5
Lattice="4.864 0.000 0.000 0.000 4.864 0.000 0.000 0.000 4.219" Properties=species:S:1:pos:R:3 pbc="T T T"
Na 0.000 0.000 0.000
Mg 2.432 2.432 2.110
S 0.000 2.432 2.110
S 2.432 0.000 2.110
N 2.432 2.432 0.000
```


11.
The following is a DFT calculation (meta-GGA SCAN) of a PBEsol-optimized structure of Mg2NbSeN.

DOS at the Fermi energy = 0.498 states/eV/atom
uncorrected formation energy = -0.37 eV/atom
total DFT energy (no corrections) = -14.85 eV/atom

Structure (extended XYZ):
```
5
Lattice="4.280 0.000 0.000 0.000 4.280 0.000 0.000 0.000 4.292" Properties=species:S:1:pos:R:3 pbc="T T T"
Mg 0.000 2.140 0.000
Mg 2.140 0.000 0.000
Nb 0.000 0.000 2.146
Se 2.140 2.140 2.146
N 0.000 0.000 0.000
```


12.
The following is a DFT calculation (meta-GGA SCAN) of a PBEsol-optimized structure of MgNbTe2N.

DOS at the Fermi energy = 0.457 states/eV/atom
uncorrected formation energy = -0.07 eV/atom
total DFT energy (no corrections) = -24.45 eV/atom

Structure (extended XYZ):
```
5
Lattice="5.539 0.000 0.000 0.000 5.539 0.000 0.000 0.000 3.891" Properties=species:S:1:pos:R:3 pbc="T T T"
Mg 0.000 0.000 0.000
Nb 2.770 2.770 1.945
Te 0.000 2.770 1.945
Te 2.770 0.000 1.945
N 2.770 2.770 0.000
```


13.
The following is a DFT calculation (meta-GGA SCAN) of a PBEsol-optimized structure of Mg2NiN2.

DOS at the Fermi energy = 0.158 states/eV/atom
uncorrected formation energy = -0.54 eV/atom
total DFT energy (no corrections) = -9.48 eV/atom

Structure (extended XYZ):
```
10
Lattice="5.050 -2.094 0.000 5.050 2.094 0.000 -3.256 0.000 5.510" Properties=species:S:1:pos:R:3 pbc="T T T"
Mg -0.419 0.000 1.362
Mg 0.245 0.000 5.088
Mg 6.599 0.000 0.422
Mg 7.262 0.000 4.148
Ni 2.539 0.000 2.074
Ni 4.305 0.000 3.437
N 1.495 0.000 0.546
N 2.453 0.000 3.874
N 4.391 0.000 1.636
N 5.348 0.000 4.965
```


14.
The following is a DFT calculation (meta-GGA SCAN) of a PBEsol-optimized structure of MgNiTeN2.

DOS at the Fermi energy = 0.625 states/eV/atom
uncorrected formation energy = 1.30 eV/atom
total DFT energy (no corrections) = -14.09 eV/atom

Structure (extended XYZ):
```
5
Lattice="3.860 0.000 0.000 0.000 3.860 0.000 0.000 0.000 5.802" Properties=species:S:1:pos:R:3 pbc="T T T"
Mg 0.000 0.000 0.000
Ni 1.930 1.930 2.901
Te 0.000 0.000 2.901
N 0.000 1.930 0.000
N 1.930 0.000 0.000
```


15.
The following is a DFT calculation (meta-GGA SCAN) of a PBEsol-optimized structure of MgN2O2.

DOS at the Fermi energy = 0.119 states/eV/atom
uncorrected formation energy = 1.54 eV/atom
total DFT energy (no corrections) = -5.66 eV/atom

Structure (extended XYZ):
```
5
Lattice="4.320 0.000 0.000 0.000 4.320 0.000 0.000 0.000 3.857" Properties=species:S:1:pos:R:3 pbc="T T T"
Mg 0.000 0.000 0.000
N 0.000 2.160 0.000
N 2.160 0.000 0.000
O 0.000 0.000 1.928
O 2.160 2.160 1.928
```


16.
The following is a DFT calculation (meta-GGA SCAN) of a PBEsol-optimized structure of SrMgP3N5O2.

DOS at the Fermi energy = 0.000 states/eV/atom
uncorrected formation energy = -1.65 eV/atom
total DFT energy (no corrections) = -11.43 eV/atom

Structure (extended XYZ):
```
48
Lattice="6.932 0.000 0.000 0.000 6.624 0.000 -6.602 0.000 12.258" Properties=species:S:1:pos:R:3 pbc="T T T"
Sr -2.467 1.624 4.840
Sr -5.768 1.688 10.968
Sr 6.097 4.936 1.289
Sr 2.796 5.001 7.418
Mg 2.563 0.037 1.410
Mg -0.738 3.275 7.539
Mg 1.067 3.349 4.719
Mg -2.234 6.587 10.848
P -3.146 1.599 8.711
P 0.156 1.713 2.582
P -4.346 4.805 11.167
P -1.045 5.131 5.038
P 2.227 3.427 1.458
P -1.075 6.509 7.587
P 1.404 0.115 4.671
P -1.898 3.197 10.800
P 1.374 1.493 7.219
P 4.675 1.819 1.090
P 0.173 4.911 9.675
P 3.475 5.025 3.546
N -5.159 4.643 9.774
N -1.857 5.294 3.645
N 1.550 3.866 0.029
N -1.751 6.071 6.158
N -2.372 0.154 8.543
N 0.929 3.158 2.414
N 0.477 1.353 4.154
N -2.825 1.959 10.283
N -2.757 4.567 10.922
N 0.544 5.369 4.793
N -0.215 1.255 7.465
N 3.086 2.057 1.336
N 3.154 4.665 1.974
N -0.147 5.271 8.103
N -0.600 3.466 9.844
N 2.701 6.470 3.715
N 2.080 0.554 6.099
N -1.221 2.759 12.228
N 2.186 1.331 8.612
N 5.488 1.981 2.483
O 0.605 0.596 1.589
O -2.696 2.716 7.717
O -1.040 3.629 5.509
O -4.341 6.307 11.638
O 4.670 0.317 0.619
O 1.369 2.995 6.748
O 3.026 3.908 4.540
O -0.276 6.028 10.669
```


17.
The following is a DFT calculation (meta-GGA SCAN) of a PBEsol-optimized structure of MgScNO2.

DOS at the Fermi energy = 0.301 states/eV/atom
uncorrected formation energy = -1.25 eV/atom
total DFT energy (no corrections) = -9.45 eV/atom

Structure (extended XYZ):
```
5
Lattice="3.751 0.000 0.000 0.000 3.751 0.000 0.000 0.000 3.866" Properties=species:S:1:pos:R:3 pbc="T T T"
Mg 0.000 0.000 0.000
Sc 1.875 1.875 1.933
N 0.000 0.000 1.933
O 0.000 1.875 0.000
O 1.875 0.000 0.000
```


18.
The following is a DFT calculation (meta-GGA SCAN) of a PBEsol-optimized structure of MgSeN2O.

DOS at the Fermi energy = 0.330 states/eV/atom
uncorrected formation energy = 0.54 eV/atom
total DFT energy (no corrections) = -9.44 eV/atom

Structure (extended XYZ):
```
5
Lattice="3.720 0.000 0.000 0.000 3.720 0.000 0.000 0.000 3.860" Properties=species:S:1:pos:R:3 pbc="T T T"
Mg 0.000 0.000 0.000
Se 1.860 1.860 1.930
N 0.000 1.860 1.930
N 1.860 0.000 1.930
O 1.860 1.860 0.000
```


19.
The following is a DFT calculation (meta-GGA SCAN) of a PBEsol-optimized structure of MgTiN2O.

DOS at the Fermi energy = 0.674 states/eV/atom
uncorrected formation energy = -0.80 eV/atom
total DFT energy (no corrections) = -9.97 eV/atom

Structure (extended XYZ):
```
5
Lattice="3.885 0.000 0.000 0.000 3.885 0.000 0.000 0.000 3.831" Properties=species:S:1:pos:R:3 pbc="T T T"
Mg 0.000 0.000 0.000
Ti 1.942 1.942 1.916
N 0.000 1.942 1.916
N 1.942 0.000 1.916
O 1.942 1.942 0.000
```


20.
The following is a DFT calculation (meta-GGA SCAN) of a PBEsol-optimized structure of MgTlNO2.

DOS at the Fermi energy = 0.631 states/eV/atom
uncorrected formation energy = -0.11 eV/atom
total DFT energy (no corrections) = -19.93 eV/atom

Structure (extended XYZ):
```
5
Lattice="3.892 0.000 0.000 0.000 3.892 0.000 0.000 0.000 4.173" Properties=species:S:1:pos:R:3 pbc="T T T"
Mg 0.000 0.000 0.000
Tl 1.946 1.946 2.087
N 0.000 0.000 2.087
O 0.000 1.946 0.000
O 1.946 0.000 0.000
```